Record 1
The following is a DFT calculation (PBE-GGA) of a geometry-optimized TlTe3PtAu structure.

Structure (CIF):
```
data_TlTe3PtAu
_space_group_name_H-M_alt 'P n m a'
_space_group_IT_number 62
_cell_length_a 14.924
_cell_length_b 4.157
_cell_length_c 11.142
_cell_angle_alpha 90.00
_cell_angle_beta 90.00
_cell_angle_gamma 90.00
loop_
_space_group_symop_operation_xyz
'x,y,z'
'-x,-y,-z'
'-x+1/2,-y,z+1/2'
'x+1/2,y,-z+1/2'
'x+1/2,-y+1/2,-z+1/2'
'-x+1/2,y+1/2,z+1/2'
'-x,y+1/2,-z'
'x,-y+1/2,z'
loop_
_atom_site_label
_atom_site_type_symbol
_atom_site_fract_x
_atom_site_fract_y
_atom_site_fract_z
Tl1 Tl 0.169 0.250 0.029
Te1 Te 0.018 0.750 0.218
Te2 Te 0.101 0.250 0.503
Te3 Te 0.188 0.750 0.788
Pt1 Pt 0.043 0.750 0.643
Au1 Au 0.195 0.750 0.248
```

## Properties
final energy	-90.53	eV for the cell shown
crystal system	orthorhombic
offset from the most stable computed form	0	meV/atom

Record 2
The following is a DFT calculation (PBE-GGA) of a geometry-optimized TlTe3PtAu structure.

Structure (CIF):
```
data_TlTe3PtAu
_space_group_name_H-M_alt 'P n m a'
_space_group_IT_number 62
_cell_length_a 14.021
_cell_length_b 4.231
_cell_length_c 11.332
_cell_angle_alpha 90.00
_cell_angle_beta 90.00
_cell_angle_gamma 90.00
loop_
_space_group_symop_operation_xyz
'x,y,z'
'-x,-y,-z'
'-x+1/2,-y,z+1/2'
'x+1/2,y,-z+1/2'
'x+1/2,-y+1/2,-z+1/2'
'-x+1/2,y+1/2,z+1/2'
'-x,y+1/2,-z'
'x,-y+1/2,z'
loop_
_atom_site_label
_atom_site_type_symbol
_atom_site_fract_x
_atom_site_fract_y
_atom_site_fract_z
Tl1 Tl 0.174 0.250 0.040
Te1 Te 0.017 0.750 0.220
Te2 Te 0.106 0.250 0.508
Te3 Te 0.184 0.750 0.803
Pt1 Pt 0.043 0.750 0.644
Au1 Au 0.202 0.750 0.258
```

## Properties
final energy	-90.11	eV for the cell shown
crystal system	orthorhombic
offset from the most stable computed form	17	meV/atom

Record 3
The following is a DFT calculation (PBE-GGA) of a geometry-optimized ThPt4Au structure.

Structure (CIF):
```
data_ThPt4Au
_space_group_name_H-M_alt 'F -4 3 m'
_space_group_IT_number 216
_space_group_name_Hall 'F -4 2 3'
_cell_length_a 7.657
_cell_length_b 7.657
_cell_length_c 7.657
_cell_angle_alpha 90.00
_cell_angle_beta 90.00
_cell_angle_gamma 90.00
loop_
_atom_site_label
_atom_site_type_symbol
_atom_site_fract_x
_atom_site_fract_y
_atom_site_fract_z
Th1 Th 0.000 0.000 0.000
Pt1 Pt 0.124 0.124 0.376
Au1 Au 0.250 0.250 0.750
```

## Properties
final energy	-160.52	eV for the cell shown
crystal system	cubic
energy relative to the elements	-0.871	eV per atom

Record 4
The following is a DFT calculation (PBE-GGA) of a geometry-optimized ThPtAu structure.

Structure (CIF):
```
data_ThPtAu
_space_group_name_H-M_alt 'F -4 3 m'
_space_group_IT_number 216
_space_group_name_Hall 'F -4 2 3'
_cell_length_a 6.720
_cell_length_b 6.720
_cell_length_c 6.720
_cell_angle_alpha 90.00
_cell_angle_beta 90.00
_cell_angle_gamma 90.00
loop_
_atom_site_label
_atom_site_type_symbol
_atom_site_fract_x
_atom_site_fract_y
_atom_site_fract_z
Th1 Th 0.000 0.000 0.000
Pt1 Pt 0.250 0.250 0.750
Au1 Au 0.000 0.000 0.500
```

## Properties
final energy	-77.08	eV for the cell shown
crystal system	cubic
energy relative to the elements	-0.845	eV per atom

Record 5
The following is a DFT calculation (PBE-GGA) of a geometry-optimized Tl2Pt2Au structure.

Structure (CIF):
```
data_Tl2Pt2Au
_space_group_name_H-M_alt 'I 4/m m m'
_space_group_IT_number 139
_space_group_name_Hall '-I 4 2'
_cell_length_a 4.105
_cell_length_b 4.105
_cell_length_c 12.381
_cell_angle_alpha 90.00
_cell_angle_beta 90.00
_cell_angle_gamma 90.00
loop_
_atom_site_label
_atom_site_type_symbol
_atom_site_fract_x
_atom_site_fract_y
_atom_site_fract_z
Tl1 Tl 0.000 0.000 0.108
Pt1 Pt 0.000 0.500 0.250
Au1 Au 0.000 0.000 0.500
```

## Properties
final energy	-37.10	eV for the cell shown
crystal system	tetragonal
offset from the most stable computed form	0	meV/atom

Record 6
The following is a DFT calculation (PBE-GGA) of a geometry-optimized Tl2PtAu2 structure.

Structure (CIF):
```
data_Tl2PtAu2
_space_group_name_H-M_alt 'I 4/m m m'
_space_group_IT_number 139
_space_group_name_Hall '-I 4 2'
_cell_length_a 4.216
_cell_length_b 4.216
_cell_length_c 12.798
_cell_angle_alpha 90.00
_cell_angle_beta 90.00
_cell_angle_gamma 90.00
loop_
_atom_site_label
_atom_site_type_symbol
_atom_site_fract_x
_atom_site_fract_y
_atom_site_fract_z
Tl1 Tl 0.000 0.500 0.250
Pt1 Pt 0.000 0.000 0.000
Au1 Au 0.000 0.000 0.401
```

## Properties
final energy	-29.32	eV for the cell shown
crystal system	tetragonal

Record 7
The following is a DFT calculation (PBE-GGA) of a geometry-optimized Tl4PtAu structure.

Structure (CIF):
```
data_Tl4PtAu
_space_group_name_H-M_alt 'P 4/m m m'
_space_group_IT_number 123
_space_group_name_Hall '-P 4 2'
_cell_length_a 4.786
_cell_length_b 4.786
_cell_length_c 6.789
_cell_angle_alpha 90.00
_cell_angle_beta 90.00
_cell_angle_gamma 90.00
loop_
_atom_site_label
_atom_site_type_symbol
_atom_site_fract_x
_atom_site_fract_y
_atom_site_fract_z
Tl1 Tl 0.000 0.500 0.241
Pt1 Pt 0.000 0.000 0.000
Au1 Au 0.500 0.500 0.500
```

## Properties
final energy	-19.12	eV for the cell shown
crystal system	tetragonal

Record 8
The following is a DFT calculation (PBE-GGA) of a geometry-optimized Tm3Zn3Pt2Au structure.

Structure (CIF):
```
data_Tm3Zn3Pt2Au
_space_group_name_H-M_alt 'P -6 2 m'
_space_group_IT_number 189
_space_group_name_Hall 'P -6 -2'
_cell_length_a 7.3455
_cell_length_b 7.3455
_cell_length_c 3.7640
_cell_angle_alpha 90.00
_cell_angle_beta 90.00
_cell_angle_gamma 120.00
loop_
_atom_site_label
_atom_site_type_symbol
_atom_site_fract_x
_atom_site_fract_y
_atom_site_fract_z
Tm1 Tm 0.0000 0.4059 0.0000
Zn1 Zn 0.0000 0.7350 0.5000
Pt1 Pt 0.3333 0.6667 0.5000
Au1 Au 0.0000 0.0000 0.0000
```

## Properties
final energy	-40.69	eV for the cell shown
crystal system	hexagonal
energy relative to the elements	-0.899	eV per atom

Record 9
The following is a DFT calculation (PBE-GGA) of a geometry-optimized Y2PtAu structure.

Structure (CIF):
```
data_Y2PtAu
_space_group_name_H-M_alt 'F -4 3 m'
_space_group_IT_number 216
_space_group_name_Hall 'F -4 2 3'
_cell_length_a 6.885
_cell_length_b 6.885
_cell_length_c 6.885
_cell_angle_alpha 90.00
_cell_angle_beta 90.00
_cell_angle_gamma 90.00
loop_
_atom_site_label
_atom_site_type_symbol
_atom_site_fract_x
_atom_site_fract_y
_atom_site_fract_z
Y1 Y 0.000 0.000 0.000
Y2 Y 0.250 0.250 0.250
Pt1 Pt 0.000 0.000 0.500
Au1 Au 0.250 0.250 0.750
```

## Properties
final energy	-99.93	eV for the cell shown
crystal system	cubic
energy relative to the elements	-0.682	eV per atom

Record 10
The following is a DFT calculation (PBE-GGA) of a geometry-optimized Y2PtAu structure.

Structure (CIF):
```
data_Y2PtAu
_space_group_name_H-M_alt 'P 1 21/m 1'
_space_group_IT_number 11
_cell_length_a 5.686
_cell_length_b 4.591
_cell_length_c 7.536
_cell_angle_alpha 90.00
_cell_angle_beta 109.79
_cell_angle_gamma 90.00
loop_
_space_group_symop_operation_xyz
'x,y,z'
'-x,-y,-z'
'-x,y+1/2,-z'
'x,-y+1/2,z'
loop_
_atom_site_label
_atom_site_type_symbol
_atom_site_fract_x
_atom_site_fract_y
_atom_site_fract_z
Y1 Y 0.217 0.250 0.434
Y2 Y 0.232 0.250 0.927
Pt1 Pt 0.329 0.750 0.707
Au1 Au 0.320 0.750 0.208
```

## Properties
final energy	-53.14	eV for the cell shown
crystal system	monoclinic
energy relative to the elements	-1.080	eV per atom

Record 11
The following is a DFT calculation (PBE-GGA) of a geometry-optimized ZnPt2Au structure.

Structure (CIF):
```
data_ZnPt2Au
_space_group_name_H-M_alt 'F -4 3 m'
_space_group_IT_number 216
_space_group_name_Hall 'F -4 2 3'
_cell_length_a 6.356
_cell_length_b 6.356
_cell_length_c 6.356
_cell_angle_alpha 90.00
_cell_angle_beta 90.00
_cell_angle_gamma 90.00
loop_
_atom_site_label
_atom_site_type_symbol
_atom_site_fract_x
_atom_site_fract_y
_atom_site_fract_z
Zn1 Zn 0.000 0.000 0.000
Pt1 Pt 0.000 0.000 0.500
Pt2 Pt 0.250 0.250 0.750
Au1 Au 0.250 0.250 0.250
```

## Properties
final energy	-68.88	eV for the cell shown
crystal system	cubic
energy relative to the elements	-0.144	eV per atom

Record 12
The following is a DFT calculation (PBE-GGA) of a geometry-optimized Zr3Zn3PtAu2 structure.

Structure (CIF):
```
data_Zr3Zn3PtAu2
_space_group_name_H-M_alt 'P -6 2 m'
_space_group_IT_number 189
_space_group_name_Hall 'P -6 -2'
_cell_length_a 7.3094
_cell_length_b 7.3094
_cell_length_c 3.5433
_cell_angle_alpha 90.00
_cell_angle_beta 90.00
_cell_angle_gamma 120.00
loop_
_atom_site_label
_atom_site_type_symbol
_atom_site_fract_x
_atom_site_fract_y
_atom_site_fract_z
Zr1 Zr 0.0000 0.3836 0.0000
Zn1 Zn 0.0000 0.7297 0.5000
Pt1 Pt 0.0000 0.0000 0.0000
Au1 Au 0.3333 0.6667 0.5000
```

## Properties
final energy	-47.01	eV for the cell shown
crystal system	hexagonal
energy relative to the elements	-0.554	eV per atom